# K2SrOs3O12 PBE optimized geometry
# Calculated volume   261.52 Å³ per cell
# Magnetic moment   0.00 μB/atom
# Formation energy from raw total energies   -24.9 eV/f.u.
# Mass density   5.9 g cm⁻³
data_K2SrOs3O12
_chemical_formula_sum 'K2 Sr1 Os3 O12'
_symmetry_space_group_name_H-M 'P 1'
_symmetry_Int_Tables_number 1
_symmetry_space_group_name_Hall 'P 1'
_cell_length_a 6.975
_cell_length_b 6.975
_cell_length_c 6.975
_cell_angle_alpha 64.09
_cell_angle_beta 64.09
_cell_angle_gamma 64.09
loop_
_atom_site_label
_atom_site_type_symbol
_atom_site_fract_x
_atom_site_fract_y
_atom_site_fract_z
Os1 Os 0.500 0.000 0.000
O1 O 0.138 0.540 0.138
O2 O 0.271 0.271 0.888
O3 O 0.888 0.271 0.271
O4 O 0.138 0.138 0.540
K1 K 0.602 0.602 0.602
O5 O 0.460 0.862 0.862
O6 O 0.112 0.729 0.729
O7 O 0.271 0.888 0.271
O8 O 0.862 0.460 0.862
O9 O 0.729 0.112 0.729
Os2 Os 0.000 0.500 0.000
Os3 Os 0.000 0.000 0.500
Sr1 Sr 0.000 0.000 0.000
O10 O 0.729 0.729 0.112
O11 O 0.862 0.862 0.460
O12 O 0.540 0.138 0.138
K2 K 0.398 0.398 0.398